Entry 1:
Density functional theory data (PBE) for crystalline Nd3Si2Ni2 at its relaxed geometry.

Calculated values
The raw formation energy comes out at -0.61 eV per atom. The calculation puts the density of states at the Fermi level at 0.80 states/eV/atom. The crystal system is orthorhombic. Its space group is Immm. The polymorph energy (0 for the lowest one) comes out at 5.4 meV per atom.

Cell lengths 9.1763, 9.1763, 9.1763 Å; angles 153.98, 152.88, 37.93 degrees
Atoms (fractional coordinates):
Nd1 0.0000 0.0000 0.0000
Nd2 0.1808 0.6808 0.5000
Nd3 0.8192 0.3192 0.5000
Si1 0.3650 0.8650 0.5000
Si2 0.6350 0.1350 0.5000
Ni1 0.4308 0.4308 0.0000
Ni2 0.5692 0.5692 0.0000

---

Entry 2:
Density functional theory data (PBE) for crystalline Nd2Si3Ni at its relaxed geometry.

Calculated values
The raw formation energy comes out at -0.68 eV per atom. The calculation puts the density of states at the Fermi level at 1.22 states/eV/atom. The crystal system is hexagonal. Its space group is P-6m2.

Cell lengths 4.0545, 4.0545, 8.4581 Å; angles 90.00, 90.00, 120.00 degrees
Atoms (fractional coordinates):
Nd1 0.0000 0.0000 0.2459
Nd2 0.0000 0.0000 0.7541
Si1 0.3333 0.6667 0.5000
Si2 0.6667 0.3333 0.0000
Si3 0.6667 0.3333 0.5000
Ni1 0.3333 0.6667 0.0000